1.
Compound: LiHf2CuO
Source: Alexandria via LeMat-Bulk
Functional: PBE
Structure: optimized geometry

Computed properties:
* calculated volume: 71.44 Å³/cell
* distance to the lowest polymorph of the same formula: 0.000 eV/atom

a = 4.3965 Å, b = 4.3965 Å, c = 3.6959 Å
α = 90.00°, β = 90.00°, γ = 90.00°
Closest atoms and distances in Å follow each position.
Space group P4/mmm (No. 123)
Symmetry-distinct sites (fractional):
Li1 0.0000 0.0000 0.0000 x1  2 O 1.85
Hf1 0.0000 0.5000 0.5000 x2  2 O 2.20
Cu1 0.5000 0.5000 0.0000 x1  8 Hf 2.87, 4 Li 3.11
O1 0.0000 0.0000 0.5000 x1  2 Li 1.85

***

2.
Compound: Ho3ScC2
Source: Alexandria via LeMat-Bulk
Functional: PBE
Structure: optimized geometry

Computed properties:
* calculated volume: 258.56 Å³/cell
* total energy: -6.73 eV/atom

a = 6.9977 Å, b = 6.9977 Å, c = 6.0969 Å
α = 90.00°, β = 90.00°, γ = 120.00°
Closest atoms and distances in Å follow each position.
Space group P-3m1 (No. 164)
Symmetry-distinct sites (fractional):
Ho1 0.1659 0.3318 0.2242 x6  3 C 2.43-2.44
Sc1 0.3333 0.6667 0.8118 x2  3 C 2.32
C1 0.0000 0.0000 0.0000 x1  6 Ho 2.43
C2 0.0000 0.5000 0.0000 x3  2 Sc 2.32, 4 Ho 2.44

***

3.
Compound: LiFe2Si
Source: Alexandria via LeMat-Bulk
Functional: PBE
Structure: optimized geometry

Computed properties:
* calculated volume: 174.68 Å³/cell
* total energy: -6.29 eV/atom

a = 5.5900 Å, b = 5.5900 Å, c = 5.5900 Å
α = 90.00°, β = 90.00°, γ = 90.00°
Closest atoms and distances in Å follow each position.
Space group F-43m (No. 216)
Symmetry-distinct sites (fractional):
Li1 0.0000 0.0000 0.0000 x4  4 Fe 2.42, 4 Si 2.42
Fe1 0.0000 0.0000 0.5000 x4  4 Fe 2.42, 4 Si 2.42
Fe2 0.2500 0.2500 0.2500 x4  4 Fe 2.42, 4 Li 2.42
Si1 0.2500 0.2500 0.7500 x4  4 Fe 2.42, 4 Li 2.42

***

4.
Compound: Na2Co2H
Source: Alexandria via LeMat-Bulk
Functional: PBE
Structure: optimized geometry

Computed properties:
* calculated volume: 176.90 Å³/cell
* distance to the lowest polymorph of the same formula: 0.251 eV/atom

a = 5.6477 Å, b = 5.6477 Å, c = 5.5462 Å
α = 90.00°, β = 90.00°, γ = 90.00°
Closest atoms and distances in Å follow each position.
Space group I4/mmm (No. 139)
Symmetry-distinct sites (fractional):
Na1 0.0000 0.5000 0.2500 x4  2 Na 2.77, 4 Co 2.84
Co1 0.0000 0.0000 0.1978 x4  1 H 1.68
H1 0.0000 0.0000 0.5000 x2  2 Co 1.68

***

5.
Compound: Y4ErMg5
Source: Alexandria via LeMat-Bulk
Functional: PBE
Structure: optimized geometry

Computed properties:
* calculated volume: 273.32 Å³/cell
* total energy: -3.94 eV/atom

a = 3.7992 Å, b = 3.7992 Å, c = 18.9356 Å
α = 90.00°, β = 90.00°, γ = 90.00°
Closest atoms and distances in Å follow each position.
Space group P4/mmm (No. 123)
Symmetry-distinct sites (fractional):
Y1 0.0000 0.0000 0.1005 x2  8 Mg 3.29
Y2 0.0000 0.0000 0.3016 x2  8 Mg 3.29
Er1 0.0000 0.0000 0.5000 x1  8 Mg 3.27
Mg1 0.5000 0.5000 0.0000 x1  8 Y 3.29
Mg2 0.5000 0.5000 0.2010 x2  8 Y 3.29
Mg3 0.5000 0.5000 0.4019 x2  4 Er 3.27, 4 Y 3.29

***

6.
Compound: CrHg2OsCl
Source: Alexandria via LeMat-Bulk
Functional: PBE
Structure: optimized geometry

Computed properties:
* calculated volume: 125.23 Å³/cell
* total energy: -2.65 eV/atom

a = 5.4482 Å, b = 5.4482 Å, c = 4.2189 Å
α = 90.00°, β = 90.00°, γ = 90.00°
Closest atoms and distances in Å follow each position.
Space group P4/mmm (No. 123)
Symmetry-distinct sites (fractional):
Cr1 0.0000 0.0000 0.0000 x1  8 Hg 3.45, 4 Os 3.85
Hg1 0.0000 0.5000 0.5000 x2  2 Cl 2.72
Os1 0.5000 0.5000 0.0000 x1  2 Cl 2.11
Cl1 0.5000 0.5000 0.5000 x1  2 Os 2.11

***

7.
Compound: CdTcSe
Source: Alexandria via LeMat-Bulk
Functional: PBE
Structure: optimized geometry

Computed properties:
* calculated volume: 116.43 Å³/cell
* distance to the lowest polymorph of the same formula: 0.036 eV/atom

a = 3.0916 Å, b = 3.0916 Å, c = 12.1816 Å
α = 90.00°, β = 90.00°, γ = 90.00°
Closest atoms and distances in Å follow each position.
Space group I4mm (No. 107)
Symmetry-distinct sites (fractional):
Cd1 0.0000 0.0000 0.0000 x2  4 Tc 2.94, 4 Cd 3.09, 1 Se 3.25
Tc1 0.0000 0.0000 0.3385 x2  4 Se 2.54
Se1 0.0000 0.0000 0.7330 x2  4 Tc 2.54

***

8.
Compound: Sc2FeP2
Source: Alexandria via LeMat-Bulk
Functional: PBE
Structure: optimized geometry

Computed properties:
* calculated volume: 146.96 Å³/cell
* distance to the lowest polymorph of the same formula: 0.000 eV/atom

a = 5.9912 Å, b = 5.9912 Å, c = 4.0940 Å
α = 90.00°, β = 90.00°, γ = 90.00°
Closest atoms and distances in Å follow each position.
Space group P4/mbm (No. 127)
Symmetry-distinct sites (fractional):
Sc1 0.1745 0.3255 0.0000 x4  6 P 2.58-2.79
Fe1 0.0000 0.0000 0.5000 x2  4 P 2.31
P1 0.1402 0.6402 0.5000 x4  2 Fe 2.31, 1 P 2.37, 2 Sc 2.58

***

9.
Compound: Cu2AgI2Cl
Source: Alexandria via LeMat-Bulk
Functional: PBE
Structure: optimized geometry

Computed properties:
* calculated volume: 664.94 Å³/cell
* total energy: -2.91 eV/atom

a = 12.6658 Å, b = 7.4276 Å, c = 7.0682 Å
α = 90.00°, β = 90.00°, γ = 90.00°
Closest atoms and distances in Å follow each position.
Space group Cmc2_1 (No. 36)
Symmetry-distinct sites (fractional):
Cu1 0.1590 0.1721 0.0000 x8  1 Cl 2.37, 3 I 2.62-2.63
Ag1 0.0000 0.3376 0.5346 x4  2 Cl 2.67-2.71, 2 I 2.83
I1 0.1744 0.1574 0.3700 x8  3 Cu 2.62-2.63, 1 Ag 2.83
Cl1 0.0000 0.3167 0.9119 x4  2 Cu 2.37

***

10.
Compound: NpGa2Co2P
Source: Alexandria via LeMat-Bulk
Functional: PBE
Structure: optimized geometry

Computed properties:
* calculated volume: 96.46 Å³/cell
* total energy: -6.70 eV/atom

a = 4.2092 Å, b = 4.2092 Å, c = 5.4441 Å
α = 90.00°, β = 90.00°, γ = 90.00°
Closest atoms and distances in Å follow each position.
Space group P4/mmm (No. 123)
Symmetry-distinct sites (fractional):
Np1 0.0000 0.0000 0.0000 x1  2 P 2.72
Ga1 0.5000 0.5000 0.2341 x2  1 Ga 2.55, 4 Co 2.55
Co1 0.0000 0.5000 0.5000 x2  2 P 2.10
P1 0.0000 0.0000 0.5000 x1  4 Co 2.10

***

11.
Compound: NaBe2IrO6
Source: Alexandria via LeMat-Bulk
Functional: PBE
Structure: optimized geometry

Computed properties:
* calculated volume: 438.89 Å³/cell
* total energy: -6.20 eV/atom

a = 9.5545 Å, b = 8.9945 Å, c = 5.4923 Å
α = 90.00°, β = 111.59°, γ = 90.00°
Closest atoms and distances in Å follow each position.
Space group C2/c (No. 15)
Symmetry-distinct sites (fractional):
Na1 0.0000 0.0921 0.2500 x4  6 O 2.24-2.44
Be1 0.1970 0.4350 0.1292 x8  4 O 1.62-1.68
Ir1 0.0000 0.2746 0.7500 x4  6 O 1.86-2.05
O1 0.0844 0.2959 0.1117 x8  1 Be 1.63
O2 0.1314 0.1221 0.7216 x8  1 Be 1.62
O3 0.1591 0.4372 0.8056 x8  2 Be 1.63-1.68

***

12.
Compound: HgPtS2
Source: Alexandria via LeMat-Bulk
Functional: PBE
Structure: optimized geometry

Computed properties:
* calculated volume: 359.96 Å³/cell
* total energy: -3.61 eV/atom

a = 3.7265 Å, b = 21.8044 Å, c = 4.4300 Å
α = 90.00°, β = 90.00°, γ = 90.00°
Closest atoms and distances in Å follow each position.
Space group Cmcm (No. 63)
Symmetry-distinct sites (fractional):
Hg1 0.0000 0.1826 0.2500 x4  5 S 2.90-3.16
Pt1 0.0000 0.4354 0.2500 x4  4 S 2.27-2.36
S1 0.0000 0.3274 0.2500 x4  1 Pt 2.36
S2 0.0000 0.4574 0.7500 x4  3 Pt 2.27-2.34

***

13.
Compound: InSb2Os
Source: Alexandria via LeMat-Bulk
Functional: PBE
Structure: optimized geometry

Computed properties:
* calculated volume: 505.41 Å³/cell
* total energy: -5.09 eV/atom

a = 6.3852 Å, b = 6.3852 Å, c = 12.3964 Å
α = 90.00°, β = 90.00°, γ = 90.00°
Closest atoms and distances in Å follow each position.
Space group I-42d (No. 122)
Symmetry-distinct sites (fractional):
In1 0.0000 0.0000 0.0000 x4  4 Sb 2.96
Sb1 0.1949 0.2500 0.6250 x8  2 Os 2.55
Os1 0.0000 0.0000 0.5000 x4  4 Sb 2.55

***

14.
Compound: LiIn2GaH
Source: Alexandria via LeMat-Bulk
Functional: PBE
Structure: optimized geometry

Computed properties:
* calculated volume: 91.86 Å³/cell
* total energy: -2.73 eV/atom

a = 4.8623 Å, b = 4.8623 Å, c = 3.8853 Å
α = 90.00°, β = 90.00°, γ = 90.00°
Closest atoms and distances in Å follow each position.
Space group P4/mmm (No. 123)
Symmetry-distinct sites (fractional):
Li1 0.0000 0.0000 0.0000 x1  2 H 1.94
In1 0.0000 0.5000 0.5000 x2  2 H 2.43
Ga1 0.5000 0.5000 0.0000 x1  8 In 3.11, 4 Li 3.44
H1 0.0000 0.0000 0.5000 x1  2 Li 1.94

***

15.
Compound: BaNaBi2
Source: Alexandria via LeMat-Bulk
Functional: PBE
Structure: optimized geometry

Computed properties:
* calculated volume: 137.60 Å³/cell
* distance to the lowest polymorph of the same formula: 0.053 eV/atom

a = 3.7518 Å, b = 3.7518 Å, c = 9.7753 Å
α = 90.00°, β = 90.00°, γ = 90.00°
Closest atoms and distances in Å follow each position.
Space group P4/mmm (No. 123)
Symmetry-distinct sites (fractional):
Ba1 0.0000 0.0000 0.0000 x1  8 Bi 3.72, 4 Ba 3.75
Na1 0.0000 0.0000 0.5000 x1  8 Bi 3.49, 4 Na 3.75
Bi1 0.5000 0.5000 0.2675 x2  4 Na 3.49, 4 Ba 3.72, 4 Bi 3.75

***

16.
Compound: HoTm5Hg2
Source: Alexandria via LeMat-Bulk
Functional: PBE
Structure: optimized geometry

Computed properties:
* calculated volume: 449.93 Å³/cell
* total energy: -3.60 eV/atom

a = 3.6677 Å, b = 10.0166 Å, c = 12.2470 Å
α = 90.00°, β = 90.00°, γ = 90.00°
Closest atoms and distances in Å follow each position.
Space group Immm (No. 71)
Symmetry-distinct sites (fractional):
Ho1 0.0000 0.0000 0.0000 x2  4 Hg 3.46, 2 Ho 3.67, 8 Tm 3.69
Tm1 0.0000 0.2271 0.3646 x8  3 Hg 3.01-3.30, 3 Tm 3.32-3.36
Tm2 0.0000 0.5000 0.0000 x2  2 Hg 3.20, 8 Tm 3.36
Hg1 0.0000 0.5000 0.2609 x4  7 Tm 3.01-3.30

***

17.
Compound: Ac3HPtRh
Source: Alexandria via LeMat-Bulk
Functional: PBE
Structure: optimized geometry

Computed properties:
* calculated volume: 333.55 Å³/cell
* total energy: -5.60 eV/atom

a = 8.8419 Å, b = 4.1759 Å, c = 9.2390 Å
α = 90.00°, β = 102.10°, γ = 90.00°
Closest atoms and distances in Å follow each position.
Space group P2_1/m (No. 11)
Symmetry-distinct sites (fractional):
Ac1 0.0810 0.2500 0.3359 x2  3 Rh 3.01-3.02, 2 Pt 3.17
Ac2 0.2915 0.2500 0.9902 x2  3 H 2.48-2.52
Ac3 0.3996 0.7500 0.6434 x2  1 H 2.58
H1 0.4235 0.7500 0.9266 x2  4 Ac 2.48-2.58, 2 H 2.69
Pt1 0.3281 0.7500 0.2714 x2  7 Ac 3.16-3.36, 1 H 3.46
Rh1 0.1665 0.2500 0.6689 x2  6 Ac 2.94-3.02

***

18.
Compound: Zr5SnPb3
Source: Alexandria via LeMat-Bulk
Functional: PBE
Structure: optimized geometry

Computed properties:
* calculated volume: 419.16 Å³/cell
* total energy: -6.78 eV/atom

a = 8.9604 Å, b = 8.9604 Å, c = 6.0283 Å
α = 90.00°, β = 90.00°, γ = 120.00°
Closest atoms and distances in Å follow each position.
Space group P6_3/mcm (No. 193)
Symmetry-distinct sites (fractional):
Zr1 0.0000 0.2787 0.2500 x6  2 Sn 2.92, 5 Pb 3.01-3.16
Zr2 0.3333 0.6667 0.0000 x4  2 Zr 3.01, 6 Pb 3.16
Sn1 0.0000 0.0000 0.0000 x2  6 Zr 2.92, 2 Sn 3.01
Pb1 0.0000 0.3858 0.7500 x6  9 Zr 3.01-3.16

***

19.
Compound: Sm3Si2Ge2
Source: Alexandria via LeMat-Bulk
Functional: PBE
Structure: optimized geometry

Computed properties:
* calculated volume: 315.47 Å³/cell
* total energy: -5.65 eV/atom

a = 10.8995 Å, b = 4.1912 Å, c = 7.6381 Å
α = 90.00°, β = 115.29°, γ = 90.00°
Closest atoms and distances in Å follow each position.
Space group C2/m (No. 12)
Symmetry-distinct sites (fractional):
Sm1 0.0000 0.0000 0.0000 x2  6 Si 3.13-3.20, 4 Ge 3.23
Sm2 0.1834 0.0000 0.6415 x4  3 Si 2.98-2.99, 5 Ge 3.01-3.22
Si1 0.1944 0.5000 0.9260 x4  2 Si 2.44, 1 Ge 2.45
Ge1 0.0348 0.5000 0.3390 x4  1 Si 2.45

***

20.
Compound: ReTcRh2I
Source: Alexandria via LeMat-Bulk
Functional: PBE
Structure: optimized geometry

Computed properties:
* calculated volume: 108.94 Å³/cell
* total energy: -5.64 eV/atom

a = 4.7470 Å, b = 4.7470 Å, c = 4.8345 Å
α = 90.00°, β = 90.00°, γ = 90.00°
Closest atoms and distances in Å follow each position.
Space group P4/mmm (No. 123)
Symmetry-distinct sites (fractional):
Re1 0.0000 0.0000 0.0000 x1  4 Tc 3.36, 8 Rh 3.39
Tc1 0.5000 0.5000 0.0000 x1  2 I 2.42
Rh1 0.0000 0.5000 0.5000 x2  2 I 2.37
I1 0.5000 0.5000 0.5000 x1  4 Rh 2.37, 2 Tc 2.42

***

| no. | magnetic moment (μB/f.u.) | theoretical density (Mg/m³) |
| --- | --- | --- |
| 1 | 0.0 | 10.31 |
| 2 | 0.5 | 7.24 |
| 3 | 3.0 | 5.58 |
| 4 | 3.3 | 3.09 |
| 5 | 0.0 | 3.92 |
| 6 | 0.2 | 9.00 |
| 7 | 0.0 | 8.25 |
| 8 | 0.0 | 4.69 |
| 9 | 0.0 | 5.24 |
| 10 | 5.2 | 9.04 |
| 11 | 0.0 | 4.98 |
| 12 | 0.0 | 8.48 |
| 13 | 0.0 | 7.21 |
| 14 | 0.0 | 5.56 |
| 15 | 0.0 | 6.98 |
| 16 | 0.0 | 10.41 |
| 17 | 0.0 | 9.76 |
| 18 | 0.0 | 9.48 |
| 19 | 0.0 | 6.87 |
| 20 | 5.1 | 9.40 |